DFT (PBE) results for crystalline CuNi4 at its relaxed geometry.

Structure (POSCAR):
```
CuNi4
1.0
-1.710 -0.542 -1.732
0.748 -3.443 0.338
-3.876 1.483 5.159
Ni Cu
4 1
Direct
0.398 0.398 0.796
0.602 0.602 0.204
0.799 0.799 0.598
0.201 0.201 0.402
0.000 0.000 0.000
```

DOS at the Fermi energy in states/eV/cell: 7.64
Relative energy among the computed polymorphs in eV per atom: 0.000
Space group: Immm
Final energy in eV per atom: -5.420
DFT formation energy in meV/atom: 24